# 1
! K4AsPd5, optimized geometry, DFT PBE-GGA; values from VASP
&SYSTEM
  ibrav = 0, nat = 10, ntyp = 3
/
ATOMIC_SPECIES
K 39.10 K.upf
As 74.92 As.upf
Pd 106.42 Pd.upf
CELL_PARAMETERS angstrom
7.175 -2.993 0.000
7.175 2.993 0.000
-7.165 0.000 7.174
ATOMIC_POSITIONS crystal
K 0.102 0.102 0.400
K 0.298 0.298 0.196
K 0.702 0.702 0.804
K 0.898 0.898 0.600
As 0.752 0.248 0.000
Pd 0.150 0.850 0.000
Pd 0.318 0.315 0.873
Pd 0.446 0.443 0.761
Pd 0.557 0.554 0.239
Pd 0.685 0.682 0.127
! space group = C2, No. 5
! E_form = -12 meV per atom
! total moment = 0.0 μB per formula unit



# 2
! BRh2AuCl, optimized geometry, DFT PBE-GGA; values from VASP
&SYSTEM
  ibrav = 0, nat = 5, ntyp = 4
/
ATOMIC_SPECIES
B 10.81 B.upf
Rh 102.91 Rh.upf
Au 196.97 Au.upf
Cl 35.45 Cl.upf
CELL_PARAMETERS angstrom
4.495 0.000 0.000
0.000 4.495 0.000
0.000 0.000 3.876
ATOMIC_POSITIONS crystal
B 0.000 0.000 0.000
Rh 0.000 0.500 0.500
Rh 0.500 0.000 0.500
Au 0.500 0.500 0.000
Cl 0.000 0.000 0.500
! space group = P4/mmm, No. 123
! total moment = 0.0 μB per formula unit
! raw formation energy = 1.29 eV per atom



# 3
! Tb3InC, optimized geometry, DFT PBE-GGA; values from VASP
&SYSTEM
  ibrav = 0, nat = 5, ntyp = 3
/
ATOMIC_SPECIES
Tb 158.93 Tb.upf
In 114.82 In.upf
C 12.01 C.upf
CELL_PARAMETERS angstrom
4.953 0.000 0.000
0.000 4.953 0.000
0.000 0.000 4.953
ATOMIC_POSITIONS crystal
Tb 0.000 0.000 0.500
Tb 0.000 0.500 0.000
Tb 0.500 0.000 0.000
In 0.500 0.500 0.500
C 0.000 0.000 0.000
! space group = Pm-3m, No. 221
! E_form = -479 meV per atom
! total moment = 0.0 μB per formula unit



# 4
! NbInNi2, optimized geometry, DFT PBE-GGA; values from VASP
&SYSTEM
  ibrav = 0, nat = 8, ntyp = 3
/
ATOMIC_SPECIES
Nb 92.91 Nb.upf
In 114.82 In.upf
Ni 58.69 Ni.upf
CELL_PARAMETERS angstrom
-3.458 3.458 2.804
3.458 -3.458 2.804
3.458 3.458 -2.804
ATOMIC_POSITIONS crystal
Nb 0.000 0.000 0.000
Nb 0.750 0.250 0.500
In 0.250 0.750 0.500
In 0.500 0.500 0.000
Ni 0.107 0.125 0.482
Ni 0.375 0.893 0.018
Ni 0.643 0.625 0.518
Ni 0.875 0.357 0.982
! space group = I-42d, No. 122
! E_form = 375 meV per atom
! total moment = 0.0 μB per formula unit



# 5
! NbNiIr2, optimized geometry, DFT PBE-GGA; values from VASP
&SYSTEM
  ibrav = 0, nat = 4, ntyp = 3
/
ATOMIC_SPECIES
Nb 92.91 Nb.upf
Ni 58.69 Ni.upf
Ir 192.22 Ir.upf
CELL_PARAMETERS angstrom
0.000 3.089 3.089
3.089 0.000 3.089
3.089 3.089 0.000
ATOMIC_POSITIONS crystal
Nb 0.000 0.000 0.000
Ni 0.500 0.500 0.500
Ir 0.250 0.250 0.250
Ir 0.750 0.750 0.750
! space group = Fm-3m, No. 225
! E_form = -213 meV per atom
! total moment = 0.0 μB per formula unit
! energy relative to the lowest polymorph listed for this composition = 23.01 kJ per mole of atoms



# 6
! K2Rb4H, optimized geometry, DFT PBE-GGA; values from VASP
&SYSTEM
  ibrav = 0, nat = 7, ntyp = 3
/
ATOMIC_SPECIES
K 39.10 K.upf
Rb 85.47 Rb.upf
H 1.01 H.upf
CELL_PARAMETERS angstrom
-3.054 3.054 12.427
3.054 -3.054 12.427
3.054 3.054 -12.427
ATOMIC_POSITIONS crystal
K 0.191 0.191 0.000
K 0.809 0.809 0.000
Rb 0.000 0.500 0.500
Rb 0.373 0.373 0.000
Rb 0.500 0.000 0.500
Rb 0.627 0.627 0.000
H 0.500 0.500 0.000
! space group = I4/mmm, No. 139
! total moment = 0.0 μB per formula unit



# 7
! MgRh, optimized geometry, DFT PBE-GGA; values from VASP
&SYSTEM
  ibrav = 0, nat = 12, ntyp = 2
/
ATOMIC_SPECIES
Mg 24.30 Mg.upf
Rh 102.91 Rh.upf
CELL_PARAMETERS angstrom
7.094 0.000 0.000
0.000 7.094 0.000
0.000 0.000 7.094
ATOMIC_POSITIONS crystal
Mg 0.000 0.250 0.500
Mg 0.000 0.750 0.500
Mg 0.250 0.500 0.000
Mg 0.500 0.000 0.250
Mg 0.500 0.000 0.750
Mg 0.750 0.500 0.000
Rh 0.000 0.500 0.250
Rh 0.000 0.500 0.750
Rh 0.250 0.000 0.500
Rh 0.500 0.250 0.000
Rh 0.500 0.750 0.000
Rh 0.750 0.000 0.500
! space group = Pm-3n, No. 223
! E_form = 988 meV per atom
! total moment = 0.3 μB per formula unit



# 8
! Th2AlB10, optimized geometry, DFT PBE-GGA; values from VASP
&SYSTEM
  ibrav = 0, nat = 26, ntyp = 3
/
ATOMIC_SPECIES
Th 232.04 Th.upf
Al 26.98 Al.upf
B 10.81 B.upf
CELL_PARAMETERS angstrom
5.702 0.000 0.000
0.000 11.349 0.000
0.000 0.000 4.214
ATOMIC_POSITIONS crystal
Th 0.202 0.137 0.000
Th 0.298 0.637 0.000
Th 0.702 0.363 0.000
Th 0.798 0.863 0.000
Al 0.000 0.500 0.500
Al 0.500 0.000 0.500
B 0.044 0.308 0.500
B 0.121 0.959 0.500
B 0.147 0.804 0.500
B 0.213 0.383 0.197
B 0.213 0.383 0.803
B 0.287 0.883 0.197
B 0.287 0.883 0.803
B 0.353 0.304 0.500
B 0.379 0.459 0.500
B 0.456 0.808 0.500
B 0.544 0.192 0.500
B 0.621 0.541 0.500
B 0.647 0.696 0.500
B 0.713 0.117 0.197
B 0.713 0.117 0.803
B 0.787 0.617 0.197
B 0.787 0.617 0.803
B 0.853 0.196 0.500
B 0.879 0.041 0.500
B 0.956 0.692 0.500
! space group = Pbam, No. 55
! E_form = -487 meV per atom
! total moment = 0.0 μB per formula unit



# 9
! YMnAl, optimized geometry, DFT PBE-GGA; values from VASP
&SYSTEM
  ibrav = 0, nat = 6, ntyp = 3
/
ATOMIC_SPECIES
Y 88.91 Y.upf
Mn 54.94 Mn.upf
Al 26.98 Al.upf
CELL_PARAMETERS angstrom
-2.743 2.765 3.809
2.743 -2.765 3.809
2.743 2.765 -3.809
ATOMIC_POSITIONS crystal
Y 0.370 0.120 0.250
Y 0.630 0.880 0.750
Mn 0.000 0.000 0.500
Mn 0.000 0.500 0.000
Al 0.000 0.500 0.500
Al 0.500 0.500 0.000
! space group = Imma, No. 74
! E_form = -235 meV per atom
! total moment = 2.6 μB per formula unit



# 10
! CsIBrN2, optimized geometry, DFT PBE-GGA; values from VASP
&SYSTEM
  ibrav = 0, nat = 5, ntyp = 4
/
ATOMIC_SPECIES
Cs 132.91 Cs.upf
I 126.90 I.upf
Br 79.90 Br.upf
N 14.01 N.upf
CELL_PARAMETERS angstrom
5.107 0.000 0.000
0.000 5.107 0.000
0.000 0.000 8.148
ATOMIC_POSITIONS crystal
Cs 0.000 0.000 0.000
I 0.500 0.500 0.000
Br 0.500 0.500 0.500
N 0.000 0.500 0.500
N 0.500 0.000 0.500
! space group = P4/mmm, No. 123
! total moment = 5.0 μB per formula unit
! energy relative to the lowest polymorph listed for this composition = 0.00 kJ per mole of atoms
! raw formation energy = 1.45 eV per atom



# 11
! Pa2MnReN5, optimized geometry, DFT PBE-GGA; values from VASP
&SYSTEM
  ibrav = 0, nat = 18, ntyp = 4
/
ATOMIC_SPECIES
Pa 231.04 Pa.upf
Mn 54.94 Mn.upf
Re 186.21 Re.upf
N 14.01 N.upf
CELL_PARAMETERS angstrom
1.667 -6.418 0.000
1.667 6.418 0.000
0.000 0.000 9.802
ATOMIC_POSITIONS crystal
Pa 0.106 0.894 0.500
Pa 0.146 0.854 0.127
Pa 0.854 0.146 0.627
Pa 0.894 0.106 0.000
Mn 0.460 0.540 0.273
Mn 0.540 0.460 0.773
Re 0.202 0.798 0.835
Re 0.798 0.202 0.335
N 0.051 0.949 0.878
N 0.285 0.715 0.471
N 0.319 0.681 0.191
N 0.371 0.629 0.816
N 0.490 0.510 0.589
N 0.510 0.490 0.089
N 0.629 0.371 0.316
N 0.681 0.319 0.691
N 0.715 0.285 0.971
N 0.949 0.051 0.378
! space group = Cmc2_1, No. 36
! total moment = 1.4 μB per formula unit
! raw formation energy = -0.92 eV per atom



# 12
! K3Pt5, optimized geometry, DFT PBE-GGA; values from VASP
&SYSTEM
  ibrav = 0, nat = 16, ntyp = 2
/
ATOMIC_SPECIES
K 39.10 K.upf
Pt 195.08 Pt.upf
CELL_PARAMETERS angstrom
2.554 -10.024 0.000
2.554 10.024 0.000
-2.474 0.000 8.472
ATOMIC_POSITIONS crystal
K 0.000 0.000 0.000
K 0.083 0.499 0.594
K 0.499 0.083 0.594
K 0.582 0.582 0.188
K 0.618 0.967 0.095
K 0.967 0.618 0.095
Pt 0.038 0.038 0.591
Pt 0.104 0.272 0.388
Pt 0.272 0.104 0.388
Pt 0.310 0.478 0.801
Pt 0.478 0.310 0.801
Pt 0.545 0.545 0.599
Pt 0.602 0.819 0.438
Pt 0.763 0.981 0.751
Pt 0.819 0.602 0.438
Pt 0.981 0.763 0.751
! space group = Cm, No. 8
! E_form = 155 meV per atom
! total moment = 0.0 μB per formula unit
! energy relative to the lowest polymorph listed for this composition = 4.62 kJ per mole of atoms



# 13
! Sr2CaCr, optimized geometry, DFT PBE-GGA; values from VASP
&SYSTEM
  ibrav = 0, nat = 4, ntyp = 3
/
ATOMIC_SPECIES
Sr 87.62 Sr.upf
Ca 40.08 Ca.upf
Cr 52.00 Cr.upf
CELL_PARAMETERS angstrom
0.000 4.268 4.268
4.268 0.000 4.268
4.268 4.268 0.000
ATOMIC_POSITIONS crystal
Sr 0.250 0.250 0.250
Sr 0.750 0.750 0.750
Ca 0.000 0.000 0.000
Cr 0.500 0.500 0.500
! space group = Fm-3m, No. 225
! E_form = 462 meV per atom
! total moment = 5.4 μB per formula unit
! energy relative to the lowest polymorph listed for this composition = 6.00 kJ per mole of atoms



# 14
! Pr2Dy7Er, optimized geometry, DFT PBE-GGA; values from VASP
&SYSTEM
  ibrav = 0, nat = 10, ntyp = 3
/
ATOMIC_SPECIES
Pr 140.91 Pr.upf
Dy 162.50 Dy.upf
Er 167.26 Er.upf
CELL_PARAMETERS angstrom
3.263 -14.451 0.000
3.263 14.451 0.000
0.000 0.000 3.511
ATOMIC_POSITIONS crystal
Pr 0.207 0.793 0.000
Pr 0.793 0.207 0.000
Dy 0.000 0.000 0.000
Dy 0.158 0.352 0.000
Dy 0.316 0.684 0.500
Dy 0.352 0.158 0.000
Dy 0.648 0.842 0.000
Dy 0.684 0.316 0.500
Dy 0.842 0.648 0.000
Er 0.500 0.500 0.500
! space group = Cmmm, No. 65
! E_form = 154 meV per atom
! total moment = 0.0 μB per formula unit
! energy relative to the lowest polymorph listed for this composition = 8.77 kJ per mole of atoms



# 15
! PtICl3, optimized geometry, DFT PBE-GGA; values from VASP
&SYSTEM
  ibrav = 0, nat = 5, ntyp = 3
/
ATOMIC_SPECIES
Pt 195.08 Pt.upf
I 126.90 I.upf
Cl 35.45 Cl.upf
CELL_PARAMETERS angstrom
4.943 0.000 0.000
0.000 4.943 0.000
0.000 0.000 4.943
ATOMIC_POSITIONS crystal
Pt 0.000 0.000 0.000
I 0.500 0.500 0.500
Cl 0.000 0.000 0.500
Cl 0.000 0.500 0.000
Cl 0.500 0.000 0.000
! space group = Pm-3m, No. 221
! total moment = 1.4 μB per formula unit
! energy relative to the lowest polymorph listed for this composition = 35.99 kJ per mole of atoms
! raw formation energy = 0.10 eV per atom



# 16
! InPO2F, optimized geometry, DFT PBE-GGA; values from VASP
&SYSTEM
  ibrav = 0, nat = 5, ntyp = 4
/
ATOMIC_SPECIES
In 114.82 In.upf
P 30.97 P.upf
O 16.00 O.upf
F 19.00 F.upf
CELL_PARAMETERS angstrom
3.992 0.000 0.000
0.000 3.992 0.000
0.000 0.000 6.011
ATOMIC_POSITIONS crystal
In 0.000 0.000 0.000
P 0.000 0.000 0.500
O 0.000 0.500 0.000
O 0.500 0.000 0.000
F 0.500 0.500 0.500
! space group = P4/mmm, No. 123
! total moment = 2.6 μB per formula unit
! raw formation energy = 0.15 eV per atom



# 17
! Li15CdAg4, optimized geometry, DFT PBE-GGA; values from VASP
&SYSTEM
  ibrav = 0, nat = 20, ntyp = 3
/
ATOMIC_SPECIES
Li 6.94 Li.upf
Cd 112.41 Cd.upf
Ag 107.87 Ag.upf
CELL_PARAMETERS angstrom
4.137 0.000 0.000
0.000 4.137 0.000
0.000 0.000 20.107
ATOMIC_POSITIONS crystal
Li 0.000 0.000 0.000
Li 0.000 0.000 0.206
Li 0.000 0.000 0.402
Li 0.000 0.000 0.598
Li 0.000 0.000 0.794
Li 0.000 0.500 0.107
Li 0.000 0.500 0.304
Li 0.000 0.500 0.500
Li 0.000 0.500 0.696
Li 0.000 0.500 0.893
Li 0.500 0.000 0.107
Li 0.500 0.000 0.304
Li 0.500 0.000 0.500
Li 0.500 0.000 0.696
Li 0.500 0.000 0.893
Cd 0.500 0.500 0.000
Ag 0.500 0.500 0.206
Ag 0.500 0.500 0.402
Ag 0.500 0.500 0.598
Ag 0.500 0.500 0.794
! space group = P4/mmm, No. 123
! E_form = -137 meV per atom
! total moment = 0.0 μB per formula unit



# 18
! AcCuAs2Pd, optimized geometry, DFT PBE-GGA; values from VASP
&SYSTEM
  ibrav = 0, nat = 5, ntyp = 4
/
ATOMIC_SPECIES
Ac 227.00 Ac.upf
Cu 63.55 Cu.upf
As 74.92 As.upf
Pd 106.42 Pd.upf
CELL_PARAMETERS angstrom
-2.144 2.144 5.590
2.144 -2.144 5.590
2.144 2.144 -5.590
ATOMIC_POSITIONS crystal
Ac 0.000 0.000 0.000
Cu 0.250 0.750 0.500
As 0.372 0.372 0.000
As 0.628 0.628 0.000
Pd 0.750 0.250 0.500
! space group = I-4m2, No. 119
! E_form = -749 meV per atom
! total moment = 0.0 μB per formula unit



# 19
! BeRe2Ir, optimized geometry, DFT PBE-GGA; values from VASP
&SYSTEM
  ibrav = 0, nat = 4, ntyp = 3
/
ATOMIC_SPECIES
Be 9.01 Be.upf
Re 186.21 Re.upf
Ir 192.22 Ir.upf
CELL_PARAMETERS angstrom
2.738 0.000 0.000
0.000 3.916 0.000
0.000 0.000 5.103
ATOMIC_POSITIONS crystal
Be 0.000 0.000 0.000
Re 0.500 0.500 0.231
Re 0.500 0.500 0.769
Ir 0.000 0.000 0.500
! space group = Pmmm, No. 47
! E_form = -11 meV per atom
! total moment = 0.0 μB per formula unit



# 20
! CuSi2N2, optimized geometry, DFT PBE-GGA; values from VASP
&SYSTEM
  ibrav = 0, nat = 5, ntyp = 3
/
ATOMIC_SPECIES
Cu 63.55 Cu.upf
Si 28.09 Si.upf
N 14.01 N.upf
CELL_PARAMETERS angstrom
-1.807 1.807 3.895
1.807 -1.807 3.895
1.807 1.807 -3.895
ATOMIC_POSITIONS crystal
Cu 0.000 0.000 0.000
Si 0.339 0.339 0.000
Si 0.661 0.661 0.000
N 0.250 0.750 0.500
N 0.750 0.250 0.500
! space group = I4/mmm, No. 139
! total moment = 0.0 μB per formula unit
! energy relative to the lowest polymorph listed for this composition = 0.00 kJ per mole of atoms
! raw formation energy = 0.22 eV per atom



# 21
! ReSiP2, optimized geometry, DFT PBE-GGA; values from VASP
&SYSTEM
  ibrav = 0, nat = 4, ntyp = 3
/
ATOMIC_SPECIES
Re 186.21 Re.upf
Si 28.09 Si.upf
P 30.97 P.upf
CELL_PARAMETERS angstrom
1.546 0.893 6.856
-1.546 0.893 6.856
0.000 -1.785 6.856
ATOMIC_POSITIONS crystal
Re 0.000 0.000 0.000
Si 0.500 0.500 0.500
P 0.249 0.249 0.249
P 0.751 0.751 0.751
! space group = R-3m, No. 166
! total moment = 0.0 μB per formula unit
! raw formation energy = 0.13 eV per atom



# 22
! Rb3TeO4, optimized geometry, DFT PBE-GGA; values from VASP
&SYSTEM
  ibrav = 0, nat = 8, ntyp = 3
/
ATOMIC_SPECIES
Rb 85.47 Rb.upf
Te 127.60 Te.upf
O 16.00 O.upf
CELL_PARAMETERS angstrom
-3.049 3.049 5.699
3.049 -3.049 5.699
3.049 3.049 -5.699
ATOMIC_POSITIONS crystal
Rb 0.000 0.000 0.000
Rb 0.250 0.750 0.500
Rb 0.750 0.250 0.500
Te 0.500 0.500 0.000
O 0.218 0.218 0.631
O 0.413 0.782 0.000
O 0.587 0.587 0.369
O 0.782 0.413 0.000
! space group = I-42m, No. 121
! total moment = 0.7 μB per formula unit
! raw formation energy = -1.32 eV per atom



# 23
! Rb2TaBePb, optimized geometry, DFT PBE-GGA; values from VASP
&SYSTEM
  ibrav = 0, nat = 5, ntyp = 4
/
ATOMIC_SPECIES
Rb 85.47 Rb.upf
Ta 180.95 Ta.upf
Be 9.01 Be.upf
Pb 207.20 Pb.upf
CELL_PARAMETERS angstrom
6.775 0.000 0.000
0.000 6.775 0.000
0.000 0.000 4.696
ATOMIC_POSITIONS crystal
Rb 0.000 0.500 0.000
Rb 0.500 0.000 0.000
Ta 0.000 0.000 0.000
Be 0.000 0.000 0.500
Pb 0.500 0.500 0.500
! space group = P4/mmm, No. 123
! E_form = 1538 meV per atom
! total moment = 2.8 μB per formula unit



# 24
! BaSc2O, optimized geometry, DFT PBE-GGA; values from VASP
&SYSTEM
  ibrav = 0, nat = 4, ntyp = 3
/
ATOMIC_SPECIES
Ba 137.33 Ba.upf
Sc 44.96 Sc.upf
O 16.00 O.upf
CELL_PARAMETERS angstrom
1.671 0.965 9.267
-1.671 0.965 9.267
0.000 -1.930 9.267
ATOMIC_POSITIONS crystal
Ba 0.000 0.000 0.000
Sc 0.124 0.124 0.124
Sc 0.876 0.876 0.876
O 0.500 0.500 0.500
! space group = R-3m, No. 166
! total moment = 0.0 μB per formula unit
! raw formation energy = -1.12 eV per atom



no.,final energy (hartree per atom)
1,-0.129
2,-0.147
3,-0.208
4,-0.210
5,-0.316
6,-0.048
7,-0.128
8,-0.259
9,-0.246
10,-0.099
11,-0.370
12,-0.148
13,-0.121
14,-0.165
15,-0.093
16,-0.141
17,-0.080
18,-0.194
19,-0.345
20,-0.224
21,-0.259
22,-0.167
23,-0.099
24,-0.221